1.
# NaZn3O

A relaxed structure of NaZn3O (PBE-GGA, Alexandria via LeMat-Bulk).

Geometry as POSCAR:
```
NaZn3O
1.0
4.4098 0.0000 0.0000
0.0000 4.4098 0.0000
0.0000 0.0000 4.4098
Zn O Na
3 1 1
Cartesian
0.0000 0.0000 2.2049 Zn
0.0000 2.2049 0.0000 Zn
2.2049 0.0000 0.0000 Zn
0.0000 0.0000 0.0000 O
2.2049 2.2049 2.2049 Na
```

Output
**M_tot**: 0.0 Bohr magnetons per cell



2.
# NaZn3O

A relaxed structure of NaZn3O (PBE-GGA, Alexandria via LeMat-Bulk).

Geometry as POSCAR:
```
NaZn3O
1.0
5.5914 0.0000 0.0000
0.0000 5.5914 0.0000
0.0000 0.0000 5.5914
Zn O Na
3 1 1
Cartesian
0.0000 2.7957 0.0000 Zn
2.7957 0.0000 0.0000 Zn
0.0000 0.0000 2.7957 Zn
2.7957 2.7957 2.7957 O
0.0000 0.0000 0.0000 Na
```

Output
**M_tot**: 1.2 Bohr magnetons per cell



Most stable one: 1, least stable one: 2.



1.
# NaZn2O2

A relaxed structure of NaZn2O2 (PBE-GGA, Alexandria via LeMat-Bulk).

Geometry as POSCAR:
```
NaZn2O2
1.0
-0.4257 -2.1639 -3.2782
3.7673 -1.1586 0.2756
0.5038 -4.9095 0.7943
O Zn Na
2 2 1
Cartesian
0.8744 -4.3673 -1.9927 O
2.9709 -3.8647 -0.2158 O
2.5484 -5.5303 -1.4424 Zn
1.2970 -2.7017 -0.7660 Zn
0.0000 0.0000 0.0000 Na
```

Output
**M_tot**: 0.0 Bohr magnetons per cell



2.
# NaZn2O2

A relaxed structure of NaZn2O2 (PBE-GGA, Alexandria via LeMat-Bulk).

Geometry as POSCAR:
```
NaZn2O2
1.0
-1.4662 -0.3140 -7.0018
-2.5756 -6.6288 0.8366
-2.8331 1.1690 0.5408
O Na Zn
4 2 4
Cartesian
-3.8042 -4.6191 -0.9890 O
-3.0707 -1.1546 -4.6354 O
-2.4515 -1.2909 -1.0975 O
-4.4233 -4.4828 -4.5269 O
0.0000 0.0000 0.0000 Na
-2.0209 -3.4714 -3.0826 Na
-1.2178 -0.9895 -4.2402 Zn
-2.8870 -4.3856 -5.6436 Zn
-1.1548 -2.5572 -0.5216 Zn
-2.8240 -5.9532 -1.9251 Zn
```

Output
**M_tot**: 1.1 Bohr magnetons per cell



Most stable one: 1, least stable one: 2.



1.
# NaZn2O2

A relaxed structure of NaZn2O2 (PBE-GGA, Alexandria via LeMat-Bulk).

Geometry as POSCAR:
```
NaZn2O2
1.0
5.4962 0.1031 0.0000
-0.1080 5.9345 0.0000
-2.6941 -3.0188 4.5744
O Zn Na
4 4 2
Cartesian
-0.9582 -0.1360 2.2872 O
1.3470 1.5094 3.6610 O
1.3470 1.5094 0.9134 O
3.6522 3.1548 2.2872 O
-1.3470 -1.5094 3.6293 Zn
1.1100 -0.0599 2.2872 Zn
4.0411 4.5282 0.9451 Zn
1.5841 3.0787 2.2872 Zn
-1.4010 1.4578 3.8059 Na
4.0951 1.5609 0.7685 Na
```

Output
**M_tot**: 0.0 Bohr magnetons per cell



2.
# NaZn2O2

A relaxed structure of NaZn2O2 (PBE-GGA, Alexandria via LeMat-Bulk).

Geometry as POSCAR:
```
NaZn2O2
1.0
3.7998 -0.8104 -0.3696
0.7749 3.8072 -0.3696
-1.5640 -1.0246 6.3793
O Na Zn
2 1 2
Cartesian
0.2794 0.1831 2.2697 O
2.7312 1.7891 3.3704 O
0.0000 0.0000 0.0000 Na
2.2616 -0.1684 2.8200 Zn
0.7490 2.1406 2.8200 Zn
```

Output
**M_tot**: 0.0 Bohr magnetons per cell



Most stable one: 1, least stable one: 2.



1.
# NaZr2O4

A relaxed structure of NaZr2O4 (PBE-GGA, Alexandria via LeMat-Bulk).

Geometry as POSCAR:
```
NaZr2O4
1.0
-2.9390 -0.9507 0.6223
3.5786 -8.4554 3.9831
0.5423 5.1228 10.3877
O Zr Na
16 8 4
Cartesian
0.6859 -6.5306 5.2283 O
3.0499 -3.2198 13.4738 O
0.4960 2.2473 9.7647 O
-0.8064 -3.8618 2.2578 O
1.9883 -0.4216 12.7352 O
2.1854 -2.9241 9.8426 O
1.2421 -3.4843 4.5317 O
1.0646 -0.8432 7.7286 O
1.6991 -5.3097 11.8792 O
-1.8680 -1.0636 1.5192 O
-0.0460 1.4911 6.0495 O
-0.5173 1.0263 3.1138 O
0.1173 -3.4401 7.2644 O
-1.0035 -1.3592 5.1504 O
-0.0602 -0.7990 10.4614 O
1.2279 -5.7745 8.9435 O
-1.4727 3.2507 9.9775 Zr
1.2488 0.7952 11.1018 Zr
0.1660 -2.3996 9.0844 Zr
-1.7010 0.6156 4.8732 Zr
2.6545 -7.5341 5.0155 Zr
-0.0669 -5.0786 3.8912 Zr
1.0159 -1.8838 5.9086 Zr
2.8829 -4.8989 10.1198 Zr
2.1530 -4.7792 6.8558 Na
-0.9712 0.4959 8.1373 Na
0.9334 -2.6428 12.3370 Na
0.2485 -1.6405 2.6560 Na
```

Output
**M_tot**: 0.4 Bohr magnetons per cell



2.
# NaZr2O4

A relaxed structure of NaZr2O4 (PBE-GGA, Alexandria via LeMat-Bulk).

Geometry as POSCAR:
```
NaZr2O4
1.0
6.5773 0.2320 -0.1093
-0.2428 6.5769 0.1087
-3.0876 -3.4786 4.6572
O Na Zr
8 2 4
Cartesian
0.1108 -1.4744 3.6332 O
3.3943 -1.3530 3.2512 O
0.0141 1.3580 3.6796 O
4.7273 0.1485 1.2497 O
3.2972 1.4792 3.2976 O
4.6004 3.4425 0.9766 O
1.7685 3.3348 1.0238 O
1.8954 0.0411 1.2968 O
3.2469 3.3303 4.6566 Na
-0.0814 3.2515 2.3828 Na
3.2479 1.7417 1.1368 Zr
3.1265 5.0302 1.1911 Zr
-1.5846 -0.1135 3.5200 Zr
1.7041 0.0024 3.4653 Zr
```

Output
**M_tot**: 0.0 Bohr magnetons per cell



Most stable one: 2, least stable one: 1.



1.
# NaZr3O

A relaxed structure of NaZr3O (PBE-GGA, Alexandria via LeMat-Bulk).

Geometry as POSCAR:
```
NaZr3O
1.0
-2.5020 -0.0876 -3.8236
1.5858 -4.1816 -0.9419
-3.4803 -1.8424 2.3196
Zr O Na
3 1 1
Cartesian
0.7929 -2.0908 -0.4710 Zr
-1.2510 -0.0438 -1.9118 Zr
-1.7402 -0.9212 1.1598 Zr
0.0000 0.0000 0.0000 O
-2.1983 -3.0558 -1.2230 Na
```

Output
**M_tot**: 0.0 Bohr magnetons per cell



2.
# NaZr3O

A relaxed structure of NaZr3O (PBE-GGA, Alexandria via LeMat-Bulk).

Geometry as POSCAR:
```
NaZr3O
1.0
4.9613 0.0000 0.0000
0.0000 4.9613 0.0000
0.0000 0.0000 4.9613
Zr Na O
3 1 1
Cartesian
0.0000 2.4806 0.0000 Zr
0.0000 0.0000 2.4806 Zr
2.4806 0.0000 0.0000 Zr
0.0000 0.0000 0.0000 Na
2.4806 2.4806 2.4806 O
```

Output
**M_tot**: 0.9 Bohr magnetons per cell



Most stable one: 1, least stable one: 2.



1.
# Na3Os

A relaxed structure of Na3Os (PBE-GGA, Alexandria via LeMat-Bulk).

Geometry as POSCAR:
```
Na3Os
1.0
3.2070 -5.5546 0.0000
3.2070 5.5546 0.0000
0.0000 0.0000 5.2560
Na Os
6 2
Cartesian
1.7119 -0.9884 3.9420 Na
1.7119 0.9884 1.3140 Na
4.7020 -0.9884 3.9420 Na
3.2070 3.5779 1.3140 Na
3.2070 -3.5779 3.9420 Na
4.7020 0.9884 1.3140 Na
3.2070 1.8516 3.9420 Os
3.2070 -1.8516 1.3140 Os
```

Output
**M_tot**: 3.5 Bohr magnetons per cell



2.
# Na3Os

A relaxed structure of Na3Os (PBE-GGA, Alexandria via LeMat-Bulk).

Geometry as POSCAR:
```
Na3Os
1.0
9.3352 0.0000 0.0000
0.0000 9.3352 0.0000
0.0000 0.0000 4.8751
Na Os
12 4
Cartesian
2.8470 0.3238 2.4375 Na
1.1419 8.1933 0.0000 Na
4.9914 1.8206 0.0000 Na
1.8206 4.9914 0.0000 Na
0.3238 2.8470 2.4375 Na
5.8095 5.8095 2.4375 Na
7.5146 4.3438 0.0000 Na
8.1933 1.1419 0.0000 Na
4.3438 7.5146 0.0000 Na
6.4881 9.0114 2.4375 Na
3.5257 3.5257 2.4375 Na
9.0114 6.4881 2.4375 Na
1.9354 1.9354 0.0000 Os
2.7322 6.6030 2.4375 Os
7.3998 7.3998 0.0000 Os
6.6030 2.7322 2.4375 Os
```

Output
**M_tot**: 7.8 Bohr magnetons per cell



Most stable one: 1, least stable one: 2.



1.
# NaPOs3

A relaxed structure of NaPOs3 (PBE-GGA, Alexandria via LeMat-Bulk).

Geometry as POSCAR:
```
NaPOs3
1.0
4.4121 0.0000 0.0000
0.0000 4.4121 0.0000
0.0000 0.0000 4.4121
Os Na P
3 1 1
Cartesian
0.0000 0.0000 2.2060 Os
0.0000 2.2060 0.0000 Os
2.2060 0.0000 0.0000 Os
2.2060 2.2060 2.2060 Na
0.0000 0.0000 0.0000 P
```

Output
**M_tot**: 1.4 Bohr magnetons per cell



2.
# NaPOs3

A relaxed structure of NaPOs3 (PBE-GGA, Alexandria via LeMat-Bulk).

Geometry as POSCAR:
```
NaPOs3
1.0
4.4665 0.0000 0.0000
0.0000 4.4665 0.0000
0.0000 0.0000 4.4665
Os Na P
3 1 1
Cartesian
2.2332 0.0000 0.0000 Os
0.0000 0.0000 2.2332 Os
0.0000 2.2332 0.0000 Os
0.0000 0.0000 0.0000 Na
2.2332 2.2332 2.2332 P
```

Output
**M_tot**: 1.8 Bohr magnetons per cell



Most stable one: 1, least stable one: 2.



1.
# NaP3Os

A relaxed structure of NaP3Os (PBE-GGA, Alexandria via LeMat-Bulk).

Geometry as POSCAR:
```
NaP3Os
1.0
4.5554 0.0000 0.0000
0.0000 4.5554 0.0000
0.0000 0.0000 4.5554
Na P Os
1 3 1
Cartesian
0.0000 0.0000 0.0000 Na
0.0000 0.0000 2.2777 P
0.0000 2.2777 0.0000 P
2.2777 0.0000 0.0000 P
2.2777 2.2777 2.2777 Os
```

Output
**M_tot**: 0.0 Bohr magnetons per cell



2.
# NaP3Os

A relaxed structure of NaP3Os (PBE-GGA, Alexandria via LeMat-Bulk).

Geometry as POSCAR:
```
NaP3Os
1.0
-3.1991 2.3178 2.5323
-1.1189 -3.9764 2.2261
3.2455 0.9139 3.2636
P Na Os
3 1 1
Cartesian
-0.5594 -1.9882 1.1131 P
1.6227 0.4569 1.6318 P
-1.5996 1.1589 1.2662 P
-0.5363 -0.3724 4.0110 Na
0.0000 0.0000 0.0000 Os
```

Output
**M_tot**: 0.0 Bohr magnetons per cell



Most stable one: 2, least stable one: 1.